No. 1
Entry from Alexandria: a relaxed Rb2LaHgOs crystal (PBE).

Values from the calculation:
Energy of formation from the pure elements in eV/atom: 1.30

extended XYZ file:
```
5
Lattice="-1.171 -4.255 4.068 4.187 1.619 2.900 -3.541 3.822 2.979" Properties=species:S:1:pos:R:3 pbc="T T T"
Rb -1.771 1.911 1.490
Rb -0.586 -2.128 2.034
Hg 0.000 0.000 0.000
Os 2.094 0.810 1.450
La -0.263 0.593 4.973
```


No. 2
Entry from Alexandria: a relaxed SrLa2HgOs crystal (PBE).

Values from the calculation:
Relative energy among the computed polymorphs in eV per atom: 0.000
Energy of formation from the pure elements in eV/atom: -0.08

extended XYZ file:
```
5
Lattice="5.473 0.000 0.000 0.000 5.473 0.000 0.000 0.000 6.055" Properties=species:S:1:pos:R:3 pbc="T T T"
Hg 2.736 2.736 3.027
Sr 0.000 0.000 3.027
Os 0.000 0.000 0.000
La 0.000 2.736 0.000
La 2.736 0.000 0.000
```


No. 3
Entry from Alexandria: a relaxed SrLa2HgOs crystal (PBE).

Values from the calculation:
Relative energy among the computed polymorphs in eV per atom: 0.044
Energy of formation from the pure elements in eV/atom: -0.03

extended XYZ file:
```
5
Lattice="-3.274 2.600 3.568 3.007 -1.939 4.172 3.289 4.516 -0.272" Properties=species:S:1:pos:R:3 pbc="T T T"
Os 0.000 0.000 0.000
Sr 1.511 2.588 3.734
Hg 1.645 2.258 -0.136
La -1.637 1.300 1.784
La 1.504 -0.970 2.086
```


No. 4
Entry from Alexandria: a relaxed La2TaHgOs crystal (PBE).

Values from the calculation:
Energy of formation from the pure elements in eV/atom: 1.43

extended XYZ file:
```
5
Lattice="5.484 0.000 0.000 0.000 5.171 0.000 0.000 0.000 5.484" Properties=species:S:1:pos:R:3 pbc="T T T"
Os 2.742 2.586 2.742
La 0.000 0.000 2.742
La 2.742 0.000 0.000
Hg 0.000 2.586 0.000
Ta 0.000 0.000 0.000
```


No. 5
Entry from Alexandria: a relaxed LaTbHgOs crystal (PBE).

Values from the calculation:
Energy of formation from the pure elements in eV/atom: -0.17

extended XYZ file:
```
4
Lattice="5.154 0.000 0.000 2.577 4.464 0.000 2.577 1.488 4.208" Properties=species:S:1:pos:R:3 pbc="T T T"
Hg 7.731 4.464 3.156
La 5.154 2.976 2.104
Tb 0.000 0.000 0.000
Os 2.577 1.488 1.052
```


No. 6
Entry from Alexandria: a relaxed LaThHgOs crystal (PBE).

Values from the calculation:
Energy of formation from the pure elements in eV/atom: -0.30

extended XYZ file:
```
4
Lattice="-3.570 -1.787 -1.350 2.841 -2.296 2.101 -2.005 3.797 6.862" Properties=species:S:1:pos:R:3 pbc="T T T"
Th 2.220 -2.123 2.268
Hg -3.091 -1.228 1.979
Os -1.291 1.509 6.759
La -2.721 1.302 4.240
```


No. 7
Entry from Alexandria: a relaxed LaTi2HgOs crystal (PBE).

Values from the calculation:
Energy of formation from the pure elements in eV/atom: 0.21

extended XYZ file:
```
5
Lattice="4.787 0.000 0.000 0.000 5.320 0.000 0.000 0.000 4.787" Properties=species:S:1:pos:R:3 pbc="T T T"
Os 0.000 0.000 0.000
Ti 0.000 0.000 2.393
Ti 2.393 0.000 0.000
La 2.393 2.660 2.393
Hg 0.000 2.660 0.000
```


No. 8
Entry from Alexandria: a relaxed La2TlHgOs crystal (PBE).

Values from the calculation:
Energy of formation from the pure elements in eV/atom: 1.15

extended XYZ file:
```
5
Lattice="5.863 0.000 0.000 0.000 5.132 0.000 0.000 0.000 5.863" Properties=species:S:1:pos:R:3 pbc="T T T"
La 2.931 0.000 0.000
La 0.000 0.000 2.931
Os 2.931 2.566 2.931
Tl 0.000 2.566 0.000
Hg 0.000 0.000 0.000
```


No. 9
Entry from Alexandria: a relaxed La2ZnHgOs crystal (PBE).

Values from the calculation:
Energy of formation from the pure elements in eV/atom: -0.18

extended XYZ file:
```
5
Lattice="-0.806 0.498 -5.403 5.129 -1.714 -0.923 -1.603 -4.693 -0.194" Properties=species:S:1:pos:R:3 pbc="T T T"
La 2.564 -0.857 -0.461
La -0.403 0.249 -2.702
Os 0.000 0.000 0.000
Hg 1.360 -2.954 -3.260
Zn -0.801 -2.347 -0.097
```


No. 10
Entry from Alexandria: a relaxed La2ZrHgOs crystal (PBE).

Values from the calculation:
Energy of formation from the pure elements in eV/atom: 0.45

extended XYZ file:
```
5
Lattice="-5.014 -0.903 -1.741 1.293 -5.077 -1.090 -1.468 -1.442 4.975" Properties=species:S:1:pos:R:3 pbc="T T T"
Os 0.000 0.000 0.000
La -0.734 -0.721 2.488
La -2.507 -0.451 -0.871
Zr -2.595 -3.711 1.072
Hg 0.646 -2.539 -0.545
```


No. 11
Entry from Alexandria: a relaxed LaHg2P crystal (PBE).

Values from the calculation:
Energy of formation from the pure elements in eV/atom: -0.48

extended XYZ file:
```
4
Lattice="4.024 0.000 0.000 0.000 4.024 0.000 0.000 0.000 6.753" Properties=species:S:1:pos:R:3 pbc="T T T"
La 0.000 0.000 3.780
Hg 2.012 2.012 1.493
Hg 0.000 0.000 0.312
P 2.012 2.012 4.544
```


No. 12
Entry from Alexandria: a relaxed LaHg2P crystal (PBE).

Values from the calculation:
Energy of formation from the pure elements in eV/atom: -0.59

extended XYZ file:
```
4
Lattice="-2.865 0.010 -3.181 2.818 -1.977 -2.544 -1.892 -4.869 1.688" Properties=species:S:1:pos:R:3 pbc="T T T"
Hg -0.023 -0.983 -2.863
Hg 0.000 0.000 0.000
La -2.378 -2.429 -0.746
P 0.463 -3.423 -0.428
```


No. 13
Entry from Alexandria: a relaxed La4Hg2P crystal (PBE).

Values from the calculation:
Relative energy among the computed polymorphs in eV per atom: 0.000
Energy of formation from the pure elements in eV/atom: -0.71

extended XYZ file:
```
7
Lattice="4.079 0.000 1.235 1.673 6.583 1.828 -0.274 0.434 8.258" Properties=species:S:1:pos:R:3 pbc="T T T"
Hg 2.308 4.124 7.084
Hg 3.170 2.894 4.237
La 4.979 5.465 5.613
La 3.702 5.300 9.832
La 1.775 1.717 1.489
La 0.498 1.552 5.708
P 0.000 0.000 0.000
```


No. 14
Entry from Alexandria: a relaxed LaHg2P crystal (PBE).

Values from the calculation:
Energy of formation from the pure elements in eV/atom: -0.56

extended XYZ file:
```
4
Lattice="-0.667 -4.575 -4.482 3.396 -3.641 -4.084 0.709 -3.842 1.779" Properties=species:S:1:pos:R:3 pbc="T T T"
La 2.578 -9.043 -5.090
Hg 1.736 -6.064 -3.480
Hg 2.712 -8.180 -8.479
P 0.859 -3.014 -1.697
```


No. 15
Entry from Alexandria: a relaxed LaHg4P crystal (PBE).

Values from the calculation:
Energy of formation from the pure elements in eV/atom: 0.00

extended XYZ file:
```
6
Lattice="0.000 4.243 4.243 4.243 0.000 4.243 4.243 4.243 0.000" Properties=species:S:1:pos:R:3 pbc="T T T"
Hg 5.311 3.175 5.311
Hg 3.175 3.175 3.175
Hg 5.311 5.311 3.175
Hg 3.175 5.311 5.311
P 0.000 0.000 0.000
La 6.364 6.364 6.364
```


No. 16
Entry from Alexandria: a relaxed La4Hg2P crystal (PBE).

Values from the calculation:
Relative energy among the computed polymorphs in eV per atom: 0.108
Energy of formation from the pure elements in eV/atom: -0.60

extended XYZ file:
```
7
Lattice="-2.293 4.670 -2.116 -1.415 -2.805 -4.656 -8.615 -0.944 -0.200" Properties=species:S:1:pos:R:3 pbc="T T T"
La -0.708 -1.403 -2.328
La -1.147 2.335 -1.058
La -6.110 -0.248 -1.381
La -6.215 1.170 -5.591
P 0.000 0.000 0.000
Hg -3.403 0.503 -2.656
Hg -8.921 0.418 -4.316
```


No. 17
Entry from Alexandria: a relaxed LaHg2P crystal (PBE).

Values from the calculation:
Energy of formation from the pure elements in eV/atom: -0.29

extended XYZ file:
```
4
Lattice="6.032 0.003 0.002 4.215 4.315 0.002 4.215 1.776 3.932" Properties=species:S:1:pos:R:3 pbc="T T T"
Hg 6.967 2.935 1.896
Hg 0.264 0.111 0.072
La 3.615 1.523 0.984
P 10.846 4.570 2.952
```


No. 18
Entry from Alexandria: a relaxed La5Hg2P crystal (PBE).

Values from the calculation:
Energy of formation from the pure elements in eV/atom: -0.61

extended XYZ file:
```
32
Lattice="8.110 0.000 0.000 0.000 9.547 0.000 0.000 0.000 12.799" Properties=species:S:1:pos:R:3 pbc="T T T"
Hg 4.588 4.650 2.158
Hg 4.588 0.124 2.158
Hg 0.533 9.423 4.241
Hg 7.576 4.650 8.558
Hg 3.522 9.423 10.641
Hg 0.533 4.897 4.241
Hg 3.522 4.897 10.641
Hg 7.576 0.124 8.558
La 6.738 7.160 2.651
La 5.482 4.325 5.486
La 6.683 4.325 11.886
La 7.597 7.160 6.469
La 2.628 9.098 7.313
La 4.568 7.160 0.069
La 1.427 9.098 0.913
La 1.372 2.387 10.148
La 2.921 7.160 3.868
La 5.482 0.448 5.486
La 6.683 0.448 11.886
La 3.542 2.387 12.730
La 2.683 2.387 3.749
La 1.134 7.160 10.268
La 5.427 7.160 9.051
La 2.628 5.222 7.313
La 0.513 2.387 6.330
La 6.976 2.387 2.531
La 1.427 5.222 0.913
La 5.189 2.387 8.931
P 4.623 7.160 6.196
P 3.487 2.387 6.604
P 7.542 7.160 12.595
P 0.568 2.387 0.204
```


No. 19
Entry from Alexandria: a relaxed La6HgP4 crystal (PBE).

Values from the calculation:
Energy of formation from the pure elements in eV/atom: -1.25

extended XYZ file:
```
22
Lattice="4.235 0.000 0.000 -2.117 7.047 0.000 0.000 0.000 22.037" Properties=species:S:1:pos:R:3 pbc="T T T"
Hg 2.117 2.296 5.509
Hg 0.000 4.751 16.528
La 0.000 3.167 12.795
La 2.117 6.410 18.568
La 0.000 4.720 5.509
La 2.117 6.410 14.487
La 0.000 0.637 3.469
La 2.117 0.000 0.000
La 2.117 3.881 1.777
La 2.117 3.881 9.242
La 2.117 0.000 11.019
La 0.000 0.637 7.550
La 2.117 2.328 16.528
La 0.000 3.167 20.260
P 0.000 1.950 0.902
P 0.000 5.787 2.764
P 2.117 1.260 13.783
P 0.000 1.950 10.117
P 0.000 5.787 8.254
P 2.117 5.097 11.920
P 2.117 1.260 19.273
P 2.117 5.097 21.135
```


No. 20
Entry from Alexandria: a relaxed LaHg2P crystal (PBE).

Values from the calculation:
Energy of formation from the pure elements in eV/atom: -0.58

extended XYZ file:
```
4
Lattice="4.045 0.000 0.000 0.000 4.199 0.051 0.000 1.497 6.155" Properties=species:S:1:pos:R:3 pbc="T T T"
Hg 2.022 1.325 1.239
Hg 0.000 3.472 0.295
P 2.022 5.024 4.197
La 0.000 2.921 3.629
```


No. 21
Entry from Alexandria: a relaxed LaHg2P crystal (PBE).

Values from the calculation:
Energy of formation from the pure elements in eV/atom: -0.40

extended XYZ file:
```
4
Lattice="-3.344 -0.792 -3.887 -0.521 -4.738 -2.049 -4.340 -2.721 0.826" Properties=species:S:1:pos:R:3 pbc="T T T"
La -4.103 -4.125 -2.555
P -6.154 -6.188 -3.833
Hg -2.051 -2.063 -1.278
Hg 0.000 0.000 0.000
```


No. 22
Entry from Alexandria: a relaxed LaHg2P crystal (PBE).

Values from the calculation:
Energy of formation from the pure elements in eV/atom: -0.42

extended XYZ file:
```
4
Lattice="5.391 -0.025 0.001 0.684 5.347 -0.001 -2.479 -3.299 3.469" Properties=species:S:1:pos:R:3 pbc="T T T"
Hg 0.528 2.272 1.734
Hg 5.917 5.183 0.000
La 3.152 2.761 0.000
P 3.114 -0.210 1.735
```


No. 23
Entry from Alexandria: a relaxed LaHg2P crystal (PBE).

Values from the calculation:
Energy of formation from the pure elements in eV/atom: -0.49

extended XYZ file:
```
4
Lattice="4.419 -0.047 0.018 2.256 3.800 0.018 2.185 1.228 6.454" Properties=species:S:1:pos:R:3 pbc="T T T"
P 2.214 1.245 1.594
Hg 6.644 3.736 5.030
Hg 6.672 3.751 0.183
La 4.434 2.493 2.965
```


No. 24
Entry from Alexandria: a relaxed LaHg2P crystal (PBE).

Values from the calculation:
Energy of formation from the pure elements in eV/atom: -0.42

extended XYZ file:
```
8
Lattice="8.456 0.000 0.000 0.000 8.456 0.000 4.228 4.228 2.910" Properties=species:S:1:pos:R:3 pbc="T T T"
La 0.000 0.000 0.000
La 8.456 4.228 1.455
Hg 2.531 6.342 0.727
Hg 5.925 2.114 0.727
Hg 10.570 10.153 2.182
Hg 6.342 6.759 2.182
P 4.228 8.456 1.455
P 4.228 4.228 0.000
```


No. 25
Entry from Alexandria: a relaxed La2Hg2P crystal (PBE).

Values from the calculation:
Energy of formation from the pure elements in eV/atom: -0.55

extended XYZ file:
```
10
Lattice="7.809 0.000 0.000 0.000 7.809 0.000 0.000 0.000 5.054" Properties=species:S:1:pos:R:3 pbc="T T T"
Hg 6.738 2.833 2.527
Hg 1.071 4.975 2.527
Hg 2.833 1.071 2.527
Hg 4.975 6.738 2.527
La 5.239 1.335 0.000
La 2.570 6.474 0.000
La 6.474 5.239 0.000
La 1.335 2.570 0.000
P 0.000 0.000 0.000
P 3.904 3.904 0.000
```


No. 26
Entry from Alexandria: a relaxed LaHg2P crystal (PBE).

Values from the calculation:
Energy of formation from the pure elements in eV/atom: -0.21

extended XYZ file:
```
4
Lattice="4.067 -0.011 0.000 0.013 4.067 0.000 0.000 0.000 6.129" Properties=species:S:1:pos:R:3 pbc="T T T"
P 2.040 2.028 4.597
Hg 0.000 0.000 6.004
Hg 0.000 0.000 3.189
La 2.040 2.028 1.532
```